Record 1
A plane-wave DFT calculation with PBE-GGA was carried out for a relaxed KFe2Ru crystal.

- calculated volume (Å³/cell) = 137
- E_form (eV per atom) = 0.8685
- Fermi-level density of states (states/eV/cell) = 10.2
- total moment (μB per cell) = 12.8

The structure in CIF format:
```
data_KFe2Ru
_cell_length_a 3.063
_cell_length_b 4.521
_cell_length_c 9.888
_cell_angle_alpha 90.00
_cell_angle_beta 90.00
_cell_angle_gamma 90.00
_space_group_name_H-M_alt 'C m m m'
_space_group_IT_number 65
_space_group_name_Hall '-C 2 2'
loop_
_atom_site_label
_atom_site_type_symbol
_atom_site_fract_x
_atom_site_fract_y
_atom_site_fract_z
K1 K 0.000 0.000 0.000
Fe1 Fe 0.000 0.500 0.298
Ru1 Ru 0.000 0.000 0.500
```



Record 2
A plane-wave DFT calculation with PBE-GGA was carried out for a relaxed KFe2RuSe crystal.

- calculated volume (Å³/cell) = 126
- formation energy from raw total energies (eV per atom) = 1.209
- Fermi-level density of states (states/eV/cell) = 6.3
- total moment (μB per cell) = 8.6

The structure in CIF format:
```
data_KFe2RuSe
_cell_length_a 4.681
_cell_length_b 4.681
_cell_length_c 5.764
_cell_angle_alpha 90.00
_cell_angle_beta 90.00
_cell_angle_gamma 90.00
_space_group_name_H-M_alt 'P 4/m m m'
_space_group_IT_number 123
_space_group_name_Hall '-P 4 2'
loop_
_atom_site_label
_atom_site_type_symbol
_atom_site_fract_x
_atom_site_fract_y
_atom_site_fract_z
K1 K 0.000 0.000 0.000
Fe1 Fe 0.000 0.500 0.500
Ru1 Ru 0.000 0.000 0.500
Se1 Se 0.500 0.500 0.000
```



Record 3
A plane-wave DFT calculation with PBE-GGA was carried out for a relaxed KTa2FeRu crystal.

- calculated volume (Å³/cell) = 85
- E_form (eV per atom) = 2.8087
- Fermi-level density of states (states/eV/cell) = 6.1
- total moment (μB per cell) = 1.0

The structure in CIF format:
```
data_KTa2FeRu
_cell_length_a 4.618
_cell_length_b 4.618
_cell_length_c 3.996
_cell_angle_alpha 90.00
_cell_angle_beta 90.00
_cell_angle_gamma 90.00
_space_group_name_H-M_alt 'P 4/m m m'
_space_group_IT_number 123
_space_group_name_Hall '-P 4 2'
loop_
_atom_site_label
_atom_site_type_symbol
_atom_site_fract_x
_atom_site_fract_y
_atom_site_fract_z
K1 K 0.000 0.000 0.000
Ta1 Ta 0.000 0.500 0.000
Fe1 Fe 0.000 0.000 0.500
Ru1 Ru 0.500 0.500 0.500
```



Record 4
A plane-wave DFT calculation with PBE-GGA was carried out for a relaxed KFeTc2Ru crystal.

- calculated volume (Å³/cell) = 96
- E_form (eV per atom) = 1.5010
- Fermi-level density of states (states/eV/cell) = 6.7
- total moment (μB per cell) = 2.4

The structure in CIF format:
```
data_KFeTc2Ru
_cell_length_a 4.559
_cell_length_b 4.559
_cell_length_c 4.610
_cell_angle_alpha 90.00
_cell_angle_beta 90.00
_cell_angle_gamma 90.00
_space_group_name_H-M_alt 'P 4/m m m'
_space_group_IT_number 123
_space_group_name_Hall '-P 4 2'
loop_
_atom_site_label
_atom_site_type_symbol
_atom_site_fract_x
_atom_site_fract_y
_atom_site_fract_z
K1 K 0.000 0.000 0.000
Fe1 Fe 0.500 0.500 0.500
Tc1 Tc 0.000 0.500 0.500
Ru1 Ru 0.500 0.500 0.000
```



Record 5
A plane-wave DFT calculation with PBE-GGA was carried out for a relaxed KFe2S2 crystal.

- calculated volume (Å³/cell) = 173
- formation energy from raw total energies (eV per atom) = -0.682
- Fermi-level density of states (states/eV/cell) = 3.5
- total moment (μB per cell) = 0.0

The structure in CIF format:
```
data_KFe2S2
_cell_length_a 3.681
_cell_length_b 3.681
_cell_length_c 12.775
_cell_angle_alpha 90.00
_cell_angle_beta 90.00
_cell_angle_gamma 90.00
_space_group_name_H-M_alt 'I 4/m m m'
_space_group_IT_number 139
_space_group_name_Hall '-I 4 2'
loop_
_atom_site_label
_atom_site_type_symbol
_atom_site_fract_x
_atom_site_fract_y
_atom_site_fract_z
K1 K 0.000 0.000 0.000
Fe1 Fe 0.000 0.500 0.250
S1 S 0.000 0.000 0.342
```



Record 6
A plane-wave DFT calculation with PBE-GGA was carried out for a relaxed KFeS2 crystal.

- calculated volume (Å³/cell) = 169
- formation energy from raw total energies (eV per atom) = -0.610
- Fermi-level density of states (states/eV/cell) = 5.5
- total moment (μB per cell) = 0.3

The structure in CIF format:
```
data_KFeS2
_cell_length_a 3.704
_cell_length_b 3.704
_cell_length_c 12.293
_cell_angle_alpha 90.00
_cell_angle_beta 90.00
_cell_angle_gamma 90.00
_space_group_name_H-M_alt 'I -4 m 2'
_space_group_IT_number 119
_space_group_name_Hall 'I -4 -2'
loop_
_atom_site_label
_atom_site_type_symbol
_atom_site_fract_x
_atom_site_fract_y
_atom_site_fract_z
K1 K 0.000 0.000 0.000
Fe1 Fe 0.000 0.500 0.750
S1 S 0.000 0.000 0.337
```



What did the third record say?
A plane-wave DFT calculation with PBE-GGA was carried out for a relaxed KTa2FeRu crystal.

- calculated volume (Å³/cell) = 85
- E_form (eV per atom) = 2.8087
- Fermi-level density of states (states/eV/cell) = 6.1
- total moment (μB per cell) = 1.0

The structure in CIF format:
```
data_KTa2FeRu
_cell_length_a 4.618
_cell_length_b 4.618
_cell_length_c 3.996
_cell_angle_alpha 90.00
_cell_angle_beta 90.00
_cell_angle_gamma 90.00
_space_group_name_H-M_alt 'P 4/m m m'
_space_group_IT_number 123
_space_group_name_Hall '-P 4 2'
loop_
_atom_site_label
_atom_site_type_symbol
_atom_site_fract_x
_atom_site_fract_y
_atom_site_fract_z
K1 K 0.000 0.000 0.000
Ta1 Ta 0.000 0.500 0.000
Fe1 Fe 0.000 0.000 0.500
Ru1 Ru 0.500 0.500 0.500
```



Question: Look up the Fermi-level density of states of the third one.
Answer: 6.1 states/eV/cell



Question: What is the total moment in the fourth record?
Answer: 2.4 μB per cell